DFT (meta-GGA SCAN) results for a crystal of BSb2PbI relaxed with PBEsol.

a = 4.929 Å, b = 4.929 Å, c = 5.046 Å
α = 90.00°, β = 90.00°, γ = 90.00°
Atoms (fractional coordinates):
B 0.000 0.000 0.000
Sb 0.000 0.500 0.000
Sb 0.500 0.000 0.000
Pb 0.500 0.500 0.500
I 0.000 0.000 0.500

Calculated values
symmetry	P4/mmm
final energy	-190.662	eV per cell
M_tot	0.0	μB per formula unit

=====

DFT (meta-GGA SCAN) results for a crystal of KMgIn2 relaxed with PBEsol.

a = 5.168 Å, b = 5.168 Å, c = 4.194 Å
α = 90.00°, β = 90.00°, γ = 90.00°
Atoms (fractional coordinates):
K 0.000 0.000 0.000
Mg 0.500 0.500 0.000
In 0.000 0.500 0.500
In 0.500 0.000 0.500

Calculated values
symmetry	P4/mmm
formation energy from the elements	0.02	eV per atom
M_tot	0.0	μB per formula unit

=====

DFT (meta-GGA SCAN) results for a crystal of TlCdAu4 relaxed with PBEsol.

a = 5.513 Å, b = 5.513 Å, c = 5.513 Å
α = 60.00°, β = 60.00°, γ = 60.00°
Atoms (fractional coordinates):
Tl 0.000 0.000 0.000
Cd 0.750 0.750 0.750
Au 0.375 0.375 0.375
Au 0.375 0.375 0.874
Au 0.375 0.874 0.375
Au 0.874 0.375 0.375

Calculated values
symmetry	F-43m
formation energy from the elements	-0.03	eV per atom
M_tot	0.0	μB per formula unit